A relaxed structure of VCuBr2O, computed with GGA+U. Values from VASP.

```
&SYSTEM
  ibrav = 0, nat = 5, ntyp = 4
/
ATOMIC_SPECIES
Br 79.90 Br.upf
V 50.94 V.upf
O 16.00 O.upf
Cu 63.55 Cu.upf
ATOMIC_POSITIONS crystal
Br 0.500 0.000 0.000
Br 0.000 0.000 0.500
V 0.000 0.000 0.000
O 0.500 0.500 0.500
Cu 0.000 0.500 0.000
CELL_PARAMETERS angstrom
4.817 0.000 0.000
0.000 4.907 0.000
0.000 0.000 4.817
```

## Properties
M_tot   0.15 μB/f.u.
SG   No. 123
Electronic total energy   -2.91 eV/atom
Volume   113.86 Å³/cell